Entry from Alexandria: a geometry-optimized TbDy4Sc5 structure (PBE).

Cell lengths 7.804, 7.804, 9.677 Å; angles 126.58, 126.58, 40.11 degrees
Fractional positions:
Tb 0.000 0.000 0.000
Dy 0.247 0.247 0.872
Dy 0.254 0.254 0.370
Dy 0.746 0.746 0.630
Dy 0.753 0.753 0.128
Sc 0.054 0.054 0.403
Sc 0.448 0.448 0.788
Sc 0.500 0.500 0.500
Sc 0.552 0.552 0.212
Sc 0.946 0.946 0.597

## Properties
ΔE_f   251 meV per atom
Excess energy over the best structure of this formula in the dataset   8 meV/atom
DOS(E_F)   20.4 states/eV per cell
Crystal system   monoclinic
Calculated total energy   -52.2 eV for the cell shown